CuGe2H | PBE-GGA | relaxed

The structure in extended XYZ format:
```
4
Lattice="-1.4202 -3.7850 -1.1999 -1.7147 -2.6055 2.8381 -4.1456 -0.7691 -0.0777" Properties=species:S:1:pos:R:3 pbc="T T T"
H 0.0000 0.0000 0.0000
Ge -1.8201 -1.7899 0.3901
Ge -5.4603 -5.3697 1.1703
Cu -3.6402 -3.5798 0.7802
```

Values from the calculation:
Energy relative to the lowest polymorph listed for this composition ... 0.0 meV per atom
N(E_F) ... 0.24 states/eV/atom
DFT total energy ... -3.735 eV per atom